Record 1
! AcNd3Hg2 PBE optimized geometry; values from VASP
! Spin magnetization = 0.39 μB per formula unit
! ρ = 9.23 g/cm³
! Calculated total energy = -20.89 eV per formula unit
! Formation enthalpy at 0 K = -0.31 eV/atom
! Density of states at the Fermi level = 1.324 states/eV per atom
&SYSTEM
  ibrav = 0, nat = 6, ntyp = 3
/
ATOMIC_SPECIES
Ac 227.00 Ac.upf
Nd 144.24 Nd.upf
Hg 200.59 Hg.upf
CELL_PARAMETERS angstrom
3.8458 0.0000 0.0000
0.0000 3.8458 0.0000
0.0000 0.0000 12.9072
ATOMIC_POSITIONS crystal
Ac 0.5000 0.5000 0.5000
Nd 0.0000 0.0000 0.0000
Nd 0.0000 0.0000 0.7053
Nd 0.0000 0.0000 0.2947
Hg 0.5000 0.5000 0.8507
Hg 0.5000 0.5000 0.1493

Record 2
! Ac2Nd2Hg3 PBE optimized geometry; values from VASP
! Spin magnetization = 0.89 μB per formula unit
! ρ = 9.44 g/cm³
! Calculated total energy = -20.82 eV per formula unit
! Formation enthalpy at 0 K = -0.31 eV/atom
! Density of states at the Fermi level = 1.260 states/eV per atom
&SYSTEM
  ibrav = 0, nat = 7, ntyp = 3
/
ATOMIC_SPECIES
Ac 227.00 Ac.upf
Nd 144.24 Nd.upf
Hg 200.59 Hg.upf
CELL_PARAMETERS angstrom
5.3851 -0.0036 -1.5203
-2.9032 4.7858 0.0038
-0.3331 -0.1895 9.3072
ATOMIC_POSITIONS crystal
Ac 0.7655 0.3826 0.1459
Ac 0.2345 0.6174 0.8541
Nd 0.2571 0.1281 0.3821
Nd 0.7429 0.8719 0.6179
Hg 0.0000 0.0000 0.0000
Hg 0.4905 0.2458 0.7399
Hg 0.5095 0.7542 0.2601

Record 3
! Ac3Nd4Hg PBE optimized geometry; values from VASP
! Spin magnetization = 0.00 μB per formula unit
! ρ = 8.28 g/cm³
! Calculated total energy = -32.51 eV per formula unit
! Formation enthalpy at 0 K = -0.10 eV/atom
! Density of states at the Fermi level = 1.371 states/eV per atom
&SYSTEM
  ibrav = 0, nat = 8, ntyp = 3
/
ATOMIC_SPECIES
Ac 227.00 Ac.upf
Nd 144.24 Nd.upf
Hg 200.59 Hg.upf
CELL_PARAMETERS angstrom
3.8487 0.0000 0.0000
0.0000 3.8487 0.0000
0.0000 0.0000 19.7526
ATOMIC_POSITIONS crystal
Ac 0.5000 0.5000 0.2305
Ac 0.5000 0.5000 0.5000
Ac 0.5000 0.5000 0.7695
Nd 0.0000 0.0000 0.9023
Nd 0.0000 0.0000 0.0977
Nd 0.0000 0.0000 0.3654
Nd 0.0000 0.0000 0.6346
Hg 0.5000 0.5000 0.0000

Record 4
! AcNd4Hg PBE optimized geometry; values from VASP
! Spin magnetization = 0.00 μB per formula unit
! ρ = 7.77 g/cm³
! Calculated total energy = -23.03 eV per formula unit
! Formation enthalpy at 0 K = 0.07 eV/atom
! Density of states at the Fermi level = 1.491 states/eV per atom
&SYSTEM
  ibrav = 0, nat = 12, ntyp = 3
/
ATOMIC_SPECIES
Ac 227.00 Ac.upf
Nd 144.24 Nd.upf
Hg 200.59 Hg.upf
CELL_PARAMETERS angstrom
-5.6930 -0.6947 1.3283
0.5563 -8.3302 -1.9725
4.9408 -1.4194 7.3878
ATOMIC_POSITIONS crystal
Ac 0.8798 0.7608 0.7595
Ac 0.1202 0.2608 0.2405
Nd 0.9147 0.2914 0.8294
Nd 0.0853 0.7914 0.1706
Nd 0.5027 0.0459 0.0054
Nd 0.4973 0.5459 0.9946
Nd 0.7124 0.4583 0.4247
Nd 0.2876 0.9583 0.5753
Nd 0.7425 0.0872 0.4850
Nd 0.2575 0.5872 0.5150
Hg 0.6505 0.7899 0.3010
Hg 0.3495 0.2899 0.6990

Record 5
! AcNdHg2 PBE optimized geometry; values from VASP
! Spin magnetization = 0.00 μB per formula unit
! ρ = 9.54 g/cm³
! Calculated total energy = -10.78 eV per formula unit
! Formation enthalpy at 0 K = -0.33 eV/atom
! Density of states at the Fermi level = 0.830 states/eV per atom
&SYSTEM
  ibrav = 0, nat = 4, ntyp = 3
/
ATOMIC_SPECIES
Ac 227.00 Ac.upf
Nd 144.24 Nd.upf
Hg 200.59 Hg.upf
CELL_PARAMETERS angstrom
4.0679 0.0000 0.0000
2.0340 3.5229 0.0000
2.0340 1.1743 9.3825
ATOMIC_POSITIONS crystal
Ac 0.6667 0.6667 0.9999
Nd 0.5000 0.5000 0.4999
Hg 0.0878 0.0878 0.7367
Hg 0.2455 0.2455 0.2635

Record 6
! AcNdHg PBE optimized geometry; values from VASP
! Spin magnetization = 0.39 μB per formula unit
! ρ = 9.29 g/cm³
! Calculated total energy = -10.07 eV per formula unit
! Formation enthalpy at 0 K = -0.30 eV/atom
! Density of states at the Fermi level = 1.331 states/eV per atom
&SYSTEM
  ibrav = 0, nat = 3, ntyp = 3
/
ATOMIC_SPECIES
Ac 227.00 Ac.upf
Nd 144.24 Nd.upf
Hg 200.59 Hg.upf
CELL_PARAMETERS angstrom
-3.5311 1.5214 0.8109
-1.5445 -1.9706 -3.0286
1.2479 -4.8952 5.0979
ATOMIC_POSITIONS crystal
Ac 0.2949 0.2949 0.5898
Nd 0.5931 0.5931 0.1861
Hg 0.9621 0.9621 0.9241

Record 7
! AcNd6Hg2 PBE optimized geometry; values from VASP
! Spin magnetization = 0.00 μB per formula unit
! ρ = 8.24 g/cm³
! Calculated total energy = -35.14 eV per formula unit
! Formation enthalpy at 0 K = -0.20 eV/atom
! Density of states at the Fermi level = 1.151 states/eV per atom
&SYSTEM
  ibrav = 0, nat = 9, ntyp = 3
/
ATOMIC_SPECIES
Ac 227.00 Ac.upf
Nd 144.24 Nd.upf
Hg 200.59 Hg.upf
CELL_PARAMETERS angstrom
-3.2297 2.0718 -0.5958
-2.5574 -2.0821 -6.0305
-8.3024 -8.4650 2.9165
ATOMIC_POSITIONS crystal
Ac 0.0000 0.0000 0.0000
Nd 0.6892 0.4948 0.1267
Nd 0.3108 0.5052 0.8733
Nd 0.3130 0.7903 0.5838
Nd 0.9826 0.6966 0.3382
Nd 0.0174 0.3034 0.6618
Nd 0.6870 0.2097 0.4162
Hg 0.3481 0.0841 0.2198
Hg 0.6519 0.9159 0.7802

Record 8
! Ac5NdHg4 PBE optimized geometry; values from VASP
! Spin magnetization = 0.79 μB per formula unit
! ρ = 9.96 g/cm³
! Calculated total energy = -30.21 eV per formula unit
! Formation enthalpy at 0 K = -0.37 eV/atom
! Density of states at the Fermi level = 1.083 states/eV per atom
&SYSTEM
  ibrav = 0, nat = 10, ntyp = 3
/
ATOMIC_SPECIES
Ac 227.00 Ac.upf
Nd 144.24 Nd.upf
Hg 200.59 Hg.upf
CELL_PARAMETERS angstrom
4.0164 0.0000 0.0000
0.0000 4.0164 0.0000
0.0000 0.0000 21.5148
ATOMIC_POSITIONS crystal
Ac 0.5000 0.5000 0.1205
Ac 0.5000 0.5000 0.3103
Ac 0.5000 0.5000 0.5000
Ac 0.5000 0.5000 0.6897
Ac 0.5000 0.5000 0.8795
Nd 0.0000 0.0000 0.0000
Hg 0.0000 0.0000 0.2129
Hg 0.0000 0.0000 0.4057
Hg 0.0000 0.0000 0.5943
Hg 0.0000 0.0000 0.7871

Record 9
! Ac4NdHg PBE optimized geometry; values from VASP
! Spin magnetization = 0.00 μB per formula unit
! ρ = 8.79 g/cm³
! Calculated total energy = -22.37 eV per formula unit
! Formation enthalpy at 0 K = -0.14 eV/atom
! Density of states at the Fermi level = 1.488 states/eV per atom
&SYSTEM
  ibrav = 0, nat = 6, ntyp = 3
/
ATOMIC_SPECIES
Ac 227.00 Ac.upf
Nd 144.24 Nd.upf
Hg 200.59 Hg.upf
CELL_PARAMETERS angstrom
-0.2515 3.8369 1.0142
-3.6115 -0.6426 1.5355
6.1913 -3.1000 13.2639
ATOMIC_POSITIONS crystal
Ac 0.5000 0.5000 0.1723
Ac 0.0000 0.0000 0.6384
Ac 0.0000 0.0000 0.3616
Ac 0.5000 0.5000 0.8277
Nd 0.0000 0.0000 0.0000
Hg 0.5000 0.5000 0.5000

Record 10
! AcNdHg2 PBE optimized geometry; values from VASP
! Spin magnetization = 0.00 μB per formula unit
! ρ = 9.59 g/cm³
! Calculated total energy = -10.73 eV per formula unit
! Formation enthalpy at 0 K = -0.31 eV/atom
! Density of states at the Fermi level = 1.271 states/eV per atom
&SYSTEM
  ibrav = 0, nat = 4, ntyp = 3
/
ATOMIC_SPECIES
Ac 227.00 Ac.upf
Nd 144.24 Nd.upf
Hg 200.59 Hg.upf
CELL_PARAMETERS angstrom
-0.5861 2.9571 2.6229
1.1944 -0.4246 3.7895
8.8192 4.5888 -0.1588
ATOMIC_POSITIONS crystal
Ac 0.5000 0.5000 0.5000
Nd 0.0000 0.0000 0.0000
Hg 0.7450 0.7450 0.7649
Hg 0.2550 0.2550 0.2351

Record 11
! AcNd3Hg3 PBE optimized geometry; values from VASP
! Spin magnetization = 0.00 μB per formula unit
! ρ = 8.84 g/cm³
! Calculated total energy = -21.02 eV per formula unit
! Formation enthalpy at 0 K = -0.24 eV/atom
! Density of states at the Fermi level = 1.199 states/eV per atom
&SYSTEM
  ibrav = 0, nat = 14, ntyp = 3
/
ATOMIC_SPECIES
Ac 227.00 Ac.upf
Nd 144.24 Nd.upf
Hg 200.59 Hg.upf
CELL_PARAMETERS angstrom
9.6649 0.0000 0.0000
4.8324 8.3700 0.0000
4.8324 2.7900 5.8614
ATOMIC_POSITIONS crystal
Ac 0.3663 0.3663 0.9010
Ac 0.6337 0.6337 0.0990
Nd 0.3324 0.8403 0.7434
Nd 0.8403 0.0839 0.7434
Nd 0.0839 0.3324 0.7434
Nd 0.9161 0.6676 0.2566
Nd 0.1597 0.9161 0.2566
Nd 0.6676 0.1597 0.2566
Hg 0.3111 0.5119 0.2278
Hg 0.9492 0.3111 0.2278
Hg 0.5119 0.9492 0.2278
Hg 0.4881 0.0508 0.7722
Hg 0.0508 0.6889 0.7722
Hg 0.6889 0.4881 0.7722

Record 12
! AcNdNiHg PBE optimized geometry; values from VASP
! Spin magnetization = 0.00 μB per formula unit
! ρ = 9.55 g/cm³
! Calculated total energy = -15.87 eV per formula unit
! Formation enthalpy at 0 K = -0.23 eV/atom
! Density of states at the Fermi level = 0.836 states/eV per atom
&SYSTEM
  ibrav = 0, nat = 4, ntyp = 4
/
ATOMIC_SPECIES
Ni 58.69 Ni.upf
Ac 227.00 Ac.upf
Nd 144.24 Nd.upf
Hg 200.59 Hg.upf
CELL_PARAMETERS angstrom
-1.9083 5.0055 0.4035
-2.4435 2.2898 -4.2006
-5.3029 0.8519 0.1139
ATOMIC_POSITIONS crystal
Ni 0.7500 0.7500 0.7500
Ac 0.0000 0.0000 0.0000
Nd 0.5000 0.5000 0.5000
Hg 0.2500 0.2500 0.2500

Record 13
! AcNdHgPb PBE optimized geometry; values from VASP
! Spin magnetization = 0.00 μB per formula unit
! ρ = 10.13 g/cm³
! Calculated total energy = -14.79 eV per formula unit
! Formation enthalpy at 0 K = -0.48 eV/atom
! Density of states at the Fermi level = 0.944 states/eV per atom
&SYSTEM
  ibrav = 0, nat = 4, ntyp = 4
/
ATOMIC_SPECIES
Ac 227.00 Ac.upf
Nd 144.24 Nd.upf
Hg 200.59 Hg.upf
Pb 207.20 Pb.upf
CELL_PARAMETERS angstrom
4.0202 0.0000 0.0000
0.0000 4.0202 0.0000
0.0000 0.0000 7.9000
ATOMIC_POSITIONS crystal
Ac 0.0000 0.0000 0.8516
Nd 0.0000 0.0000 0.3649
Hg 0.5000 0.5000 0.5862
Pb 0.5000 0.5000 0.1253